1.
## GaReP3 (PBE-GGA)

Data for GaReP3 after structural relaxation.

a = 4.5444 Å, b = 4.5444 Å, c = 4.5444 Å
α = 90.00°, β = 90.00°, γ = 90.00°
Space group Pm-3m (No. 221)
One atom of each set of equivalent atoms:
Ga 0.0000 0.0000 0.0000 (multiplicity 1)
Re 0.5000 0.5000 0.5000 (multiplicity 1)
P 0.0000 0.0000 0.5000 (multiplicity 3)

Total moment   2.4 μB/cell
DFT formation energy   1.624 eV per atom
Excess energy over the best structure of this formula in the dataset   1065.4 meV/atom

***

2.
## GaRe2P (PBE-GGA)

Data for GaRe2P after structural relaxation.

a = 3.9206 Å, b = 3.9206 Å, c = 17.1900 Å
α = 90.00°, β = 90.00°, γ = 90.00°
Space group I-42d (No. 122)
One atom of each set of equivalent atoms:
Ga 0.0000 0.0000 0.0000 (multiplicity 4)
Re 0.1920 0.2500 0.6250 (multiplicity 8)
P 0.0000 0.0000 0.5000 (multiplicity 4)

Total moment   0.0 μB/cell
DFT formation energy   0.453 eV per atom
Excess energy over the best structure of this formula in the dataset   289.8 meV/atom

***

3.
## GaRe2P (PBE-GGA)

Data for GaRe2P after structural relaxation.

a = 6.0358 Å, b = 6.0358 Å, c = 6.0358 Å
α = 90.00°, β = 90.00°, γ = 90.00°
Space group Fm-3m (No. 225)
One atom of each set of equivalent atoms:
Ga 0.0000 0.0000 0.0000 (multiplicity 4)
Re 0.2500 0.2500 0.2500 (multiplicity 8)
P 0.0000 0.0000 0.5000 (multiplicity 4)

Total moment   0.0 μB/cell
DFT formation energy   0.164 eV per atom
Excess energy over the best structure of this formula in the dataset   0.0 meV/atom